Crystalline Sr2CdCu at its relaxed geometry, computed with PBE.

Geometry as POSCAR:
```
Sr2CdCu
1.0
4.6513 0.0000 0.0000
0.0000 4.6670 0.0000
0.0000 0.0000 6.5963
Sr Cd Cu
2 1 1
Direct
0.0000 0.0000 0.0000
0.5000 0.5000 0.5000
0.0000 0.0000 0.5000
0.5000 0.5000 0.0000
```

E_form ... 0.01 eV/atom
D(E_F) ... 2.9 states/eV/f.u.
SG ... Pmmm (47)
Total DFT energy (no corrections) ... -0.076 hartree per atom